[1]
# NaNiTe2

Crystalline NaNiTe2 at its relaxed geometry (PBE-GGA, Alexandria via LeMat-Bulk).

Summary:
Formation energy from raw total energies in kJ per mole of atoms: -31.2
Electronic total energy in eV per atom: -3.669
Space-group type: I-42d
Total magnetic moment in μB per formula unit: 0.000

```
NaNiTe2
1.0
-3.959 3.959 3.277
3.959 -3.959 3.277
3.959 3.959 -3.277
Na Ni Te
2 2 4
direct
0.000 0.000 0.000 Na
0.750 0.250 0.500 Na
0.250 0.750 0.500 Ni
0.500 0.500 0.000 Ni
0.214 0.625 0.089 Te
0.375 0.464 0.589 Te
0.536 0.125 0.911 Te
0.875 0.786 0.411 Te
```

=====

[2]
# Fe2CuNi2

Crystalline Fe2CuNi2 at its relaxed geometry (PBE-GGA, Alexandria via LeMat-Bulk).

Summary:
Electronic total energy in eV per atom: -6.330
E above lowest polymorph in eV per atom: 0.170
ΔH_f (0 K) in eV/atom: 0.19
Space-group type: P4/mbm
Total magnetic moment in μB per formula unit: 6.289

```
Fe2CuNi2
1.0
6.964 0.000 0.000
0.000 6.964 0.000
0.000 0.000 2.501
Fe Cu Ni
4 2 4
direct
0.124 0.376 0.000 Fe
0.376 0.876 0.000 Fe
0.624 0.124 0.000 Fe
0.876 0.624 0.000 Fe
0.000 0.000 0.000 Cu
0.500 0.500 0.000 Cu
0.171 0.671 0.500 Ni
0.329 0.171 0.500 Ni
0.671 0.829 0.500 Ni
0.829 0.329 0.500 Ni
```

=====

[3]
# Pm4PCBr2

Crystalline Pm4PCBr2 at its relaxed geometry (PBE-GGA, Alexandria via LeMat-Bulk).

Summary:
Formation energy from raw total energies in kJ per mole of atoms: -115.8
Electronic total energy in eV per atom: -5.823
Space-group type: P2/m
Total magnetic moment in μB per formula unit: 0.000

```
Pm4PCBr2
1.0
6.955 0.000 0.000
0.000 3.945 0.000
-2.274 0.000 7.318
Pm P C Br
4 1 1 2
direct
0.207 0.000 0.187 Pm
0.243 0.500 0.807 Pm
0.757 0.500 0.193 Pm
0.793 0.000 0.813 Pm
0.500 0.000 0.000 P
0.000 0.500 0.000 C
0.000 0.000 0.500 Br
0.500 0.500 0.500 Br
```

=====

[4]
# PaNiB

Crystalline PaNiB at its relaxed geometry (PBE-GGA, Alexandria via LeMat-Bulk).

Summary:
Electronic total energy in eV per atom: -7.714
E above lowest polymorph in eV per atom: 0.000
ΔH_f (0 K) in eV/atom: -0.40
Space-group type: P3m1
Total magnetic moment in μB per formula unit: 0.000

```
PaNiB
1.0
3.724 0.000 0.000
-1.862 3.225 0.000
0.000 0.000 3.656
Pa Ni B
1 1 1
direct
0.000 0.000 0.000 Pa
0.333 0.667 0.492 Ni
0.667 0.333 0.523 B
```

=====

[5]
# MgCd2BiIr

Crystalline MgCd2BiIr at its relaxed geometry (PBE-GGA, Alexandria via LeMat-Bulk).

Summary:
Electronic total energy in eV per atom: -2.494
ΔH_f (0 K) in eV/atom: 0.74
Space-group type: P4/mmm
Total magnetic moment in μB per formula unit: 0.000

```
MgCd2BiIr
1.0
5.090 0.000 0.000
0.000 5.090 0.000
0.000 0.000 4.749
Mg Cd Bi Ir
1 2 1 1
direct
0.000 0.000 0.000 Mg
0.000 0.500 0.000 Cd
0.500 0.000 0.000 Cd
0.500 0.500 0.500 Bi
0.000 0.000 0.500 Ir
```

=====

[6]
# SrZnRu2

Crystalline SrZnRu2 at its relaxed geometry (PBE-GGA, Alexandria via LeMat-Bulk).

Summary:
Electronic total energy in eV per atom: -4.647
ΔH_f (0 K) in eV/atom: 0.73
Space-group type: Cmmm
Total magnetic moment in μB per formula unit: 2.265

```
SrZnRu2
1.0
2.926 -4.397 0.000
2.926 4.397 0.000
0.000 0.000 2.838
Sr Zn Ru
1 1 2
direct
0.000 0.000 0.000 Sr
0.500 0.500 0.000 Zn
0.000 0.500 0.500 Ru
0.500 0.000 0.500 Ru
```

=====

[7]
# Re3Mo

Crystalline Re3Mo at its relaxed geometry (PBE-GGA, Alexandria via LeMat-Bulk).

Summary:
Electronic total energy in eV per atom: -11.918
E above lowest polymorph in eV per atom: 0.038
ΔH_f (0 K) in eV/atom: 0.13
Space-group type: Cmmm
Total magnetic moment in μB per formula unit: 0.002

```
Re3Mo
1.0
2.797 -3.923 0.000
2.797 3.923 0.000
0.000 0.000 2.778
Re Mo
3 1
direct
0.000 0.000 0.000 Re
0.000 0.500 0.500 Re
0.500 0.000 0.500 Re
0.500 0.500 0.000 Mo
```

=====

[8]
# CuSbPtI2

Crystalline CuSbPtI2 at its relaxed geometry (PBE-GGA, Alexandria via LeMat-Bulk).

Summary:
Formation energy from raw total energies in kJ per mole of atoms: 58.0
Electronic total energy in eV per atom: -2.870
E above lowest polymorph in eV per atom: 0.000
Space-group type: P4/mmm
Total magnetic moment in μB per formula unit: 0.000

```
CuSbPtI2
1.0
5.645 0.000 0.000
0.000 5.645 0.000
0.000 0.000 5.100
Cu Sb Pt I
1 1 1 2
direct
0.000 0.000 0.000 Cu
0.500 0.500 0.000 Sb
0.500 0.500 0.500 Pt
0.000 0.500 0.500 I
0.500 0.000 0.500 I
```

=====

[9]
# Ac2Cu2AgPt5

Crystalline Ac2Cu2AgPt5 at its relaxed geometry (PBE-GGA, Alexandria via LeMat-Bulk).

Summary:
Electronic total energy in eV per atom: -5.583
ΔH_f (0 K) in eV/atom: -0.64
Space-group type: P4/mbm
Total magnetic moment in μB per formula unit: 0.000

```
Ac2Cu2AgPt5
1.0
9.697 0.000 0.000
0.000 9.697 0.000
0.000 0.000 4.064
Ac Cu Ag Pt
4 4 2 10
direct
0.182 0.318 0.000 Ac
0.318 0.818 0.000 Ac
0.682 0.182 0.000 Ac
0.818 0.682 0.000 Ac
0.115 0.615 0.000 Cu
0.385 0.115 0.000 Cu
0.615 0.885 0.000 Cu
0.885 0.385 0.000 Cu
0.000 0.000 0.000 Ag
0.500 0.500 0.000 Ag
0.000 0.500 0.500 Pt
0.061 0.789 0.500 Pt
0.211 0.061 0.500 Pt
0.289 0.561 0.500 Pt
0.439 0.289 0.500 Pt
0.500 0.000 0.500 Pt
0.561 0.711 0.500 Pt
0.711 0.439 0.500 Pt
0.789 0.939 0.500 Pt
0.939 0.211 0.500 Pt
```

=====

[10]
# Nd4TlTe3

Crystalline Nd4TlTe3 at its relaxed geometry (PBE-GGA, Alexandria via LeMat-Bulk).

Summary:
Formation energy from raw total energies in kJ per mole of atoms: -114.5
Electronic total energy in eV per atom: -5.045
E above lowest polymorph in eV per atom: 0.018
Space-group type: Cmmm
Total magnetic moment in μB per formula unit: 0.000

```
Nd4TlTe3
1.0
4.529 -6.374 0.000
4.529 6.374 0.000
0.000 0.000 4.507
Nd Tl Te
4 1 3
direct
0.245 0.245 0.500 Nd
0.246 0.754 0.000 Nd
0.754 0.246 0.000 Nd
0.755 0.755 0.500 Nd
0.000 0.000 0.000 Tl
0.000 0.500 0.500 Te
0.500 0.000 0.500 Te
0.500 0.500 0.000 Te
```

=====

[11]
# SrReSe2

Crystalline SrReSe2 at its relaxed geometry (PBE-GGA, Alexandria via LeMat-Bulk).

Summary:
Formation energy from raw total energies in kJ per mole of atoms: -50.6
Electronic total energy in eV per atom: -5.799
E above lowest polymorph in eV per atom: 0.000
Space-group type: R-3m
Total magnetic moment in μB per formula unit: 0.000

```
SrReSe2
1.0
2.058 1.188 5.987
-2.058 1.188 5.987
0.000 -2.376 5.987
Sr Re Se
1 1 2
direct
0.000 0.000 0.000 Sr
0.500 0.500 0.500 Re
0.226 0.226 0.226 Se
0.774 0.774 0.774 Se
```

=====

[12]
# TlP3

Crystalline TlP3 at its relaxed geometry (PBE-GGA, Alexandria via LeMat-Bulk).

Summary:
Electronic total energy in eV per atom: -4.365
ΔH_f (0 K) in eV/atom: 0.28
Space-group type: Imm2
Total magnetic moment in μB per formula unit: 0.000

```
TlP3
1.0
-1.534 4.202 3.770
1.534 -4.202 3.770
1.534 4.202 -3.770
Tl P
1 3
direct
0.000 0.000 0.000 Tl
0.246 0.387 0.859 P
0.528 0.387 0.141 P
0.552 0.052 0.500 P
```